Tl4GaBr5, relaxed, DFT GGA-PBE; D(E_F) = 0.00 states/eV per atom; formation energy (no corrections) = -0.789 eV/atom; magnetic moment = 0.00 μB per formula unit; crystal system = tetragonal; uncorrected energy = -2.8746 eV/atom
1.0
4.676 0.000 -0.659
-0.093 4.675 -0.659
0.010 0.011 16.993
Br Tl Ga
5 4 1
direct
0.702 0.702 0.403
0.500 0.500 0.000
0.298 0.298 0.597
0.906 0.906 0.812
0.094 0.094 0.188
0.802 0.802 0.603
0.402 0.402 0.804
0.198 0.198 0.397
0.598 0.598 0.196
0.000 0.000 0.000

***

Al2ZnGa3, relaxed, DFT GGA-PBE; D(E_F) = 0.42 states/eV per atom; magnetic moment = 0.00 μB per formula unit; distance to the lowest polymorph of the same formula = 52 meV/atom; crystal system = orthorhombic; uncorrected energy = -2.8646 eV/atom
1.0
-2.438 -0.878 1.035
2.003 -4.614 0.805
2.472 4.982 6.290
Zn Ga Al
1 3 2
direct
0.000 0.000 0.000
0.175 0.175 0.349
0.825 0.825 0.651
0.000 0.500 0.000
0.348 0.348 0.695
0.652 0.652 0.305

***

NdCdCu2, relaxed, DFT GGA-PBE; D(E_F) = 0.75 states/eV per atom; magnetic moment = 0.00 μB per formula unit; crystal system = tetragonal; uncorrected energy = -3.6604 eV/atom
1.0
-3.670 0.718 1.511
0.408 -3.150 2.486
4.048 6.025 6.967
Nd Cu Cd
2 4 2
direct
0.750 0.750 0.267
0.250 0.250 0.733
0.750 0.750 0.648
0.250 0.750 0.500
0.250 0.250 0.352
0.750 0.250 0.500
0.750 0.750 0.926
0.250 0.250 0.074

***

Mg2Hg2Bi2Pb, relaxed, DFT GGA-PBE; D(E_F) = 0.36 states/eV per atom; magnetic moment = 0.00 μB per formula unit; crystal system = trigonal; uncorrected energy = -2.2305 eV/atom
1.0
4.754 0.000 0.000
2.377 4.117 0.000
2.377 1.372 10.170
Bi Mg Hg Pb
2 2 2 1
direct
0.729 0.729 0.814
0.271 0.271 0.186
0.437 0.437 0.689
0.563 0.563 0.311
0.143 0.143 0.570
0.857 0.857 0.430
0.000 0.000 0.000

***

V2CuRh9, relaxed, DFT GGA-PBE; D(E_F) = 0.92 states/eV per atom; magnetic moment = 0.00 μB per formula unit; crystal system = tetragonal; uncorrected energy = -7.6251 eV/atom
1.0
-2.509 2.865 0.226
-2.470 -2.303 1.774
4.405 3.061 10.106
Rh V Cu
9 2 1
direct
0.000 0.500 0.829
0.500 0.000 0.500
0.500 0.500 0.665
0.000 0.500 0.500
0.500 0.000 0.171
0.500 0.500 0.000
0.500 0.500 0.335
0.500 0.000 0.829
0.000 0.500 0.171
0.000 0.000 0.327
0.000 0.000 0.673
0.000 0.000 0.000

***

In4ICl3, relaxed, DFT GGA-PBE; D(E_F) = 0.00 states/eV per atom; formation energy (no corrections) = -0.680 eV/atom; magnetic moment = 0.00 μB per formula unit; distance to the lowest polymorph of the same formula = 14 meV/atom; crystal system = orthorhombic; uncorrected energy = -2.9358 eV/atom
1.0
6.615 0.000 0.000
0.000 10.117 0.000
0.000 0.000 9.549
In Cl I
8 6 2
direct
0.561 0.643 0.819
0.625 0.179 0.500
0.125 0.821 0.000
0.528 0.167 0.000
0.061 0.357 0.319
0.061 0.357 0.681
0.561 0.643 0.181
0.028 0.833 0.500
0.501 0.354 0.270
0.230 0.106 0.500
0.001 0.646 0.230
0.001 0.646 0.770
0.730 0.894 0.000
0.501 0.354 0.730
0.008 0.260 0.000
0.508 0.740 0.500

***

Ac2MgHg2, relaxed, DFT GGA-PBE; D(E_F) = 1.03 states/eV per atom; magnetic moment = 0.00 μB per formula unit; distance to the lowest polymorph of the same formula = 0 meV/atom; crystal system = tetragonal; uncorrected energy = -2.4652 eV/atom
1.0
-1.380 -7.595 -2.461
6.030 -2.629 4.730
-6.319 -1.239 7.368
Hg Ac Mg
8 8 4
direct
0.638 0.138 0.750
0.862 0.638 0.250
0.362 0.862 0.250
0.138 0.362 0.750
0.138 0.362 0.250
0.362 0.862 0.750
0.862 0.638 0.750
0.638 0.138 0.250
0.666 0.834 0.000
0.166 0.666 0.500
0.334 0.166 0.500
0.166 0.666 0.000
0.834 0.334 0.000
0.834 0.334 0.500
0.666 0.834 0.500
0.334 0.166 0.000
0.000 0.000 0.250
0.500 0.500 0.750
0.000 0.000 0.750
0.500 0.500 0.250

***

TaCoRe3, relaxed, DFT GGA-PBE; D(E_F) = 1.94 states/eV per atom; magnetic moment = 0.01 μB per formula unit; distance to the lowest polymorph of the same formula = 0 meV/atom; crystal system = cubic; uncorrected energy = -9.9240 eV/atom
1.0
4.392 0.000 0.000
0.000 4.392 0.000
0.000 0.000 4.392
Re Ta Co
3 1 1
direct
0.000 0.500 0.000
0.000 0.000 0.500
0.500 0.000 0.000
0.500 0.500 0.500
0.000 0.000 0.000